# Tm2NiPt PBE-GGA relaxed
data_Tm2NiPt
_space_group_name_H-M_alt 'P 1'
_space_group_IT_number 1
_cell_length_a 3.968
_cell_length_b 3.968
_cell_length_c 19.133
_cell_angle_alpha 90.00
_cell_angle_beta 90.00
_cell_angle_gamma 120.00
loop_
_space_group_symop_operation_xyz
'x,y,z'
loop_
_atom_site_label
_atom_site_fract_x
_atom_site_fract_y
_atom_site_fract_z
Tm1 0.000 0.000 0.247
Tm2 0.000 0.000 0.753
Tm3 0.333 0.667 0.420
Tm4 0.333 0.667 0.914
Tm5 0.667 0.333 0.086
Tm6 0.667 0.333 0.580
Ni1 0.000 0.000 0.500
Ni2 0.333 0.667 0.167
Ni3 0.667 0.333 0.833
Pt1 0.000 0.000 0.000
Pt2 0.333 0.667 0.667
Pt3 0.667 0.333 0.333
# ρ in g/cm³: 11.30
# E_tot in eV for the cell shown: -70.56
# Symmetry: R-3m
# Calculated formation energy in meV per atom: -688.3

=====

# Tm4CdRu2Au PBE-GGA relaxed
data_Tm4CdRu2Au
_space_group_name_H-M_alt 'P 1'
_space_group_IT_number 1
_cell_length_a 8.508
_cell_length_b 8.508
_cell_length_c 8.508
_cell_angle_alpha 33.67
_cell_angle_beta 33.67
_cell_angle_gamma 33.67
loop_
_space_group_symop_operation_xyz
'x,y,z'
loop_
_atom_site_label
_atom_site_fract_x
_atom_site_fract_y
_atom_site_fract_z
Tm1 0.123 0.123 0.123
Tm2 0.373 0.373 0.373
Tm3 0.627 0.627 0.627
Tm4 0.877 0.877 0.877
Cd1 0.500 0.500 0.500
Ru1 0.249 0.249 0.249
Ru2 0.751 0.751 0.751
Au1 0.000 0.000 0.000
# ρ in g/cm³: 11.69
# E_tot in eV for the cell shown: -44.59
# Symmetry: R-3m
# Calculated formation energy in meV per atom: -495.5

=====

Please write out number 1 again, unchanged.
# Tm2NiPt PBE-GGA relaxed
data_Tm2NiPt
_space_group_name_H-M_alt 'P 1'
_space_group_IT_number 1
_cell_length_a 3.968
_cell_length_b 3.968
_cell_length_c 19.133
_cell_angle_alpha 90.00
_cell_angle_beta 90.00
_cell_angle_gamma 120.00
loop_
_space_group_symop_operation_xyz
'x,y,z'
loop_
_atom_site_label
_atom_site_fract_x
_atom_site_fract_y
_atom_site_fract_z
Tm1 0.000 0.000 0.247
Tm2 0.000 0.000 0.753
Tm3 0.333 0.667 0.420
Tm4 0.333 0.667 0.914
Tm5 0.667 0.333 0.086
Tm6 0.667 0.333 0.580
Ni1 0.000 0.000 0.500
Ni2 0.333 0.667 0.167
Ni3 0.667 0.333 0.833
Pt1 0.000 0.000 0.000
Pt2 0.333 0.667 0.667
Pt3 0.667 0.333 0.333
# ρ in g/cm³: 11.30
# E_tot in eV for the cell shown: -70.56
# Symmetry: R-3m
# Calculated formation energy in meV per atom: -688.3